Density functional theory data (PBE) for crystalline La7NdIn4 at its relaxed geometry.

Results
Density of states at the Fermi level: 1.21 states/eV per atom
ΔH_f (0 K): -0.19 eV per atom
Energy: -104.9 eV for the cell shown

Lattice parameters (Å, degrees): 14.7386 5.9852 11.2296 90.00 124.27 90.00
Last column: nearest neighbours and their distance in Å.
Space group C2/m (No. 12)
Inequivalent atoms, fractional coordinates:
La 0.0000 0.0000 0.0000 x2  2 Nd 2.99, 4 In 3.14-3.25
La 0.0604 0.5000 0.3806 x4  2 La 3.29-3.56, 3 In 3.31-3.38
La 0.2024 0.5000 0.8800 x4  1 La 3.29, 4 In 3.47-3.60
La 0.2089 0.0000 0.6431 x4  4 In 3.16-3.32
Nd 0.0000 0.5000 0.0000 x2  2 La 2.99
In 0.0581 0.0000 0.7605 x4  1 In 3.10, 6 La 3.16-3.47
In 0.1838 0.0000 0.3319 x4  1 In 3.10, 5 La 3.14-3.32

---

Density functional theory data (PBE) for crystalline La12Nd7In at its relaxed geometry.

Results
Density of states at the Fermi level: 1.73 states/eV per atom
ΔH_f (0 K): 0.09 eV per atom
Energy: -280.1 eV for the cell shown
Polymorph energy (0 for the lowest one): 0.0 meV/atom

Lattice parameters (Å, degrees): 12.6062 12.6062 15.4770 90.00 90.00 120.00
Last column: nearest neighbours and their distance in Å.
Space group R-3 (No. 148, hexagonal axes)
Inequivalent atoms, fractional coordinates:
La 0.0266 0.4394 0.2071 x18  2 La 3.30-3.34, 1 In 3.53, 1 Nd 3.66
La 0.0583 0.5883 0.5858 x18  3 La 3.30-3.34, 1 Nd 3.34
Nd 0.0000 0.0000 0.0000 x3  6 La 3.34
Nd 0.0511 0.1814 0.3039 x18  3 Nd 3.54-3.58, 1 In 3.66, 7 La 3.66-3.93
In 0.0000 0.0000 0.5000 x3  6 La 3.53, 6 Nd 3.66

---

Density functional theory data (PBE) for crystalline LaNd2In4 at its relaxed geometry.

Results
Density of states at the Fermi level: 0.89 states/eV per atom
ΔH_f (0 K): -0.31 eV per atom
Energy: -55.1 eV for the cell shown

Lattice parameters (Å, degrees): 5.4485 5.4485 15.0618 90.00 90.00 90.00
Last column: nearest neighbours and their distance in Å.
Space group I4/mmm (No. 139)
Inequivalent atoms, fractional coordinates:
La 0.0000 0.0000 0.0000 x2  8 In 3.25
Nd 0.0000 0.0000 0.2567 x4  8 In 3.31-3.43
In 0.0000 0.5000 0.1180 x8  2 La 3.25, 4 Nd 3.31-3.43, 1 In 3.56

---

Density functional theory data (PBE) for crystalline LaNd3In2 at its relaxed geometry.

Results
Density of states at the Fermi level: 1.27 states/eV per atom
ΔH_f (0 K): -0.35 eV per atom
Energy: -53.6 eV for the cell shown
Polymorph energy (0 for the lowest one): 0.0 meV/atom

Lattice parameters (Å, degrees): 5.4218 10.1437 6.9293 90.00 90.00 90.00
Last column: nearest neighbours and their distance in Å.
Space group Pmc2_1 (No. 26)
Inequivalent atoms, fractional coordinates:
La 0.0000 0.0392 0.0000 x2  5 In 3.40-3.74, 2 La 3.55, 3 Nd 3.58-3.70
Nd 0.0000 0.3262 0.6708 x2  5 In 3.25-3.62, 2 Nd 3.59
Nd 0.5000 0.1766 0.2722 x2  5 In 3.30-3.63, 2 La 3.58, 1 Nd 3.65
Nd 0.5000 0.4602 0.9477 x2  5 In 3.37-3.75, 5 Nd 3.56-3.65
In 0.0000 0.3538 0.1921 x2  7 Nd 3.25-3.62, 1 La 3.46
In 0.5000 0.1494 0.7505 x2  6 Nd 3.30-3.63, 2 La 3.40

---

Density functional theory data (PBE) for crystalline La3NdIn2 at its relaxed geometry.

Results
Density of states at the Fermi level: 0.87 states/eV per atom
ΔH_f (0 K): -0.28 eV per atom
Energy: -106.7 eV for the cell shown
Polymorph energy (0 for the lowest one): 91.9 meV/atom

Lattice parameters (Å, degrees): 19.1713 5.0126 8.7120 90.00 114.29 90.00
Last column: nearest neighbours and their distance in Å.
Space group C2/m (No. 12)
Inequivalent atoms, fractional coordinates:
La 0.0648 0.0000 0.1842 x4  3 La 3.15-3.25, 2 In 3.25
La 0.1203 0.5000 0.0251 x4  4 In 3.24-3.35, 3 La 3.25-3.56
La 0.1993 0.5000 0.4733 x4  2 La 3.09, 2 In 3.25-3.26
Nd 0.1146 0.0000 0.6798 x4  7 In 3.45-3.69, 2 La 3.82
In 0.0141 0.5000 0.3519 x4  1 In 2.85
In 0.2429 0.0000 0.1204 x4  4 La 3.25-3.35, 2 In 3.35, 3 Nd 3.59-3.61

---

Density functional theory data (PBE) for crystalline LaNd5In2 at its relaxed geometry.

Results
Density of states at the Fermi level: 1.49 states/eV per atom
ΔH_f (0 K): -0.28 eV per atom
Energy: -73.0 eV for the cell shown
Polymorph energy (0 for the lowest one): 0.0 meV/atom

Lattice parameters (Å, degrees): 7.0601 14.1170 5.0185 90.00 90.00 90.00
Last column: nearest neighbours and their distance in Å.
Space group Pbam (No. 55)
Inequivalent atoms, fractional coordinates:
La 0.0000 0.0000 0.0000 x2  8 Nd 3.53-3.54, 4 In 3.56
Nd 0.0000 0.5000 0.0000 x2  6 Nd 3.52-3.55, 2 La 3.53, 4 In 3.53
Nd 0.0051 0.2509 0.0000 x4  7 Nd 3.51-3.56, 4 In 3.53, 1 La 3.54
Nd 0.2505 0.3743 0.5000 x4  4 In 3.51-3.55, 6 Nd 3.51-3.56, 2 La 3.54
In 0.2462 0.6260 0.5000 x4  10 Nd 3.51-3.55, 2 La 3.56

---

Density functional theory data (PBE) for crystalline LaNd12In6 at its relaxed geometry.

Results
Density of states at the Fermi level: 1.04 states/eV per atom
ΔH_f (0 K): -0.23 eV per atom
Energy: -248.9 eV for the cell shown

Lattice parameters (Å, degrees): 11.8474 11.8474 14.7839 90.00 90.00 120.00
Last column: nearest neighbours and their distance in Å.
Space group R-3 (No. 148, hexagonal axes)
Inequivalent atoms, fractional coordinates:
La 0.0000 0.0000 0.0000 x3  6 In 3.36, 6 Nd 3.50
Nd 0.0594 0.2181 0.4103 x18  4 In 3.33-3.43, 4 Nd 3.48-3.52
Nd 0.0717 0.8809 0.8049 x18  3 Nd 3.09-3.43, 3 In 3.38-3.46
In 0.0262 0.5918 0.7138 x18  7 Nd 3.33-3.46, 1 La 3.36, 2 In 3.57

---

Density functional theory data (PBE) for crystalline La2Nd8In at its relaxed geometry.

Results
Density of states at the Fermi level: 1.37 states/eV per atom
ΔH_f (0 K): 0.01 eV per atom
Energy: -101.4 eV for the cell shown
Polymorph energy (0 for the lowest one): 68.8 meV/atom

Lattice parameters (Å, degrees): 5.6660 7.7818 17.6896 90.00 90.00 90.00
Last column: nearest neighbours and their distance in Å.
Space group Immm (No. 71)
Inequivalent atoms, fractional coordinates:
La 0.0000 0.0000 0.1931 x4  12 Nd 3.49-3.91
Nd 0.0000 0.2438 0.0000 x4  2 In 3.46, 7 Nd 3.67-3.79
Nd 0.0000 0.2729 0.3649 x8  1 In 3.20, 2 La 3.49, 1 Nd 3.53
Nd 0.0000 0.5000 0.1741 x4  8 Nd 3.61-3.81, 4 La 3.68-3.91
In 0.0000 0.0000 0.5000 x2  8 Nd 3.20-3.46